Entry 1:
Material: Ba6Na2CdPd
Method: DFT, GGA-PBE
State: relaxed

a b c (Å): 9.2682 9.2682 9.2682
angles (deg): 120.03 90.02 119.94
Atoms (fractional coordinates):
Ba  0.2407  0.0000  0.2407
Ba  0.2406  0.0002  0.7596
Ba  0.2406  0.4811  0.2404
Ba  0.7593  0.0000  0.2407
Ba  0.7593  0.0000  0.7593
Ba  0.7593  0.5186  0.7593
Na  0.2496  0.4994  0.7501
Na  0.7493  0.4994  0.2499
Cd  0.5000  0.0000  0.5000
Pd  0.0000  0.0000  0.0000

Calculated values
- Calculated total energy: -2.16 eV/atom
- Total magnetization: 0.0000 μB per atom
- Volume: 563.0 Å³ per cell
- DOS(E_F): 8.152 states/eV per cell
- Space-group type: Imm2 (44)
- Energy of formation: -0.1323 eV/atom

Entry 2:
Material: La2BeAl
Method: DFT, GGA-PBE
State: relaxed

a b c (Å): 7.4907 7.4907 7.4907
angles (deg): 32.08 32.08 32.08
Atoms (fractional coordinates):
La  0.0000  0.0000  0.0000
La  0.1964  0.1964  0.1964
Be  0.7667  0.7667  0.7667
Al  0.4304  0.4304  0.4304

Calculated values
- Calculated total energy: -4.41 eV/atom
- Total magnetization: 0.0001 μB per atom
- Volume: 105.4 Å³ per cell
- DOS(E_F): 4.960 states/eV per cell
- Space-group type: R3m (160)
- Energy of formation: -0.0769 eV/atom

Entry 3:
Material: BaZn7Cu5
Method: DFT, GGA-PBE
State: relaxed

a b c (Å): 6.9826 6.9826 6.9826
angles (deg): 138.67 96.83 97.48
Atoms (fractional coordinates):
Ba  0.0000  0.0000  0.0000
Zn  0.2396  0.4973  0.7424
Zn  0.3447  0.9889  0.3558
Zn  0.3498  0.3498  0.0000
Zn  0.6331  0.9889  0.6442
Zn  0.6420  0.6420  0.0000
Zn  0.7478  0.2478  0.5000
Zn  0.7549  0.4973  0.2576
Cu  0.2450  0.7450  0.5000
Cu  0.4957  0.4965  0.5004
Cu  0.4957  0.9953  0.9992
Cu  0.9961  0.4965  0.0008
Cu  0.9961  0.9953  0.4996

Calculated values
- Calculated total energy: -2.48 eV/atom
- Total magnetization: 0.0000 μB per atom
- Volume: 210.4 Å³ per cell
- DOS(E_F): 5.397 states/eV per cell
- Space-group type: Imm2 (44)
- Energy of formation: -0.0665 eV/atom

Entry 4:
Material: Zn7GaPd4
Method: DFT, GGA-PBE
State: relaxed

a b c (Å): 6.5191 6.5191 9.3560
angles (deg): 126.82 126.82 40.64
Atoms (fractional coordinates):
Zn  0.0000  0.0000  0.0000
Zn  0.1060  0.1060  0.8198
Zn  0.2276  0.2276  0.6733
Zn  0.4372  0.4372  0.5830
Zn  0.5628  0.5628  0.4170
Zn  0.7724  0.7724  0.3267
Zn  0.8940  0.8940  0.1802
Ga  0.5000  0.5000  0.0000
Pd  0.1639  0.1639  0.3575
Pd  0.2882  0.2882  0.1838
Pd  0.7118  0.7118  0.8162
Pd  0.8361  0.8361  0.6425

Calculated values
- Calculated total energy: -2.93 eV/atom
- Total magnetization: 0.0000 μB per atom
- Volume: 199.2 Å³ per cell
- DOS(E_F): 3.886 states/eV per cell
- Space-group type: C2/m (12)
- Energy of formation: -0.2086 eV/atom

Entry 5:
Material: CaCdIn2Ag4
Method: DFT, GGA-PBE
State: relaxed

a b c (Å): 8.9457 8.9457 8.9457
angles (deg): 31.38 31.38 31.38
Atoms (fractional coordinates):
Ca  0.0000  0.0000  0.0000
Cd  0.5000  0.5000  0.5000
In  0.2525  0.2525  0.2525
In  0.7475  0.7475  0.7475
Ag  0.1296  0.1296  0.1296
Ag  0.3882  0.3882  0.3882
Ag  0.6118  0.6118  0.6118
Ag  0.8704  0.8704  0.8704

Calculated values
- Calculated total energy: -2.62 eV/atom
- Total magnetization: 0.0000 μB per atom
- Volume: 172.3 Å³ per cell
- DOS(E_F): 2.415 states/eV per cell
- Space-group type: R-3m (166)
- Energy of formation: -0.1411 eV/atom

Entry 6:
Material: Pm8Th
Method: DFT, GGA-PBE
State: relaxed

a b c (Å): 8.1407 8.1407 8.1407
angles (deg): 95.79 95.79 142.97
Atoms (fractional coordinates):
Pm  0.0000  0.3303  0.3303
Pm  0.0000  0.6697  0.6697
Pm  0.3303  0.0000  0.3303
Pm  0.3374  0.3374  0.6748
Pm  0.3374  0.6626  0.0000
Pm  0.6626  0.3374  0.0000
Pm  0.6626  0.6626  0.3252
Pm  0.6697  0.0000  0.6697
Th  0.0000  0.0000  0.0000

Calculated values
- Calculated total energy: -5.02 eV/atom
- Total magnetization: 0.0000 μB per atom
- Volume: 308.1 Å³ per cell
- DOS(E_F): 13.760 states/eV per cell
- Space-group type: I4/mmm (139)
- Energy of formation: 0.0300 eV/atom

Entry 7:
Material: SrAcS2O8
Method: DFT, GGA-PBE
State: relaxed

a b c (Å): 5.2419 5.2419 8.3847
angles (deg): 90.00 90.00 120.00
Atoms (fractional coordinates):
Sr  0.0000  0.0000  0.0000
Ac  0.0000  0.0000  0.5000
S  0.3333  0.6667  0.1970
S  0.6667  0.3333  0.8030
O  0.1781  0.3562  0.2557
O  0.1781  0.8219  0.2557
O  0.3333  0.6667  0.0206
O  0.3562  0.1781  0.7443
O  0.6438  0.8219  0.2557
O  0.6667  0.3333  0.9794
O  0.8219  0.1781  0.7443
O  0.8219  0.6438  0.7443

Calculated values
- Raw formation energy: -2063 meV/atom
- Calculated total energy: -6.54 eV/atom
- Total magnetization: 0.0376 μB per atom
- Volume: 199.5 Å³ per cell
- DOS(E_F): 1.295 states/eV per cell
- Space-group type: P-3m1 (164)

Entry 8:
Material: Tm5Bi2Os
Method: DFT, GGA-PBE
State: relaxed

a b c (Å): 8.3680 8.3680 14.3956
angles (deg): 90.00 90.00 141.84
Atoms (fractional coordinates):
Tm  0.0532  0.9468  0.6241
Tm  0.0532  0.9468  0.8759
Tm  0.2749  0.7251  0.6031
Tm  0.2749  0.7251  0.8969
Tm  0.3024  0.6976  0.2500
Tm  0.6976  0.3024  0.7500
Tm  0.7251  0.2749  0.1031
Tm  0.7251  0.2749  0.3969
Tm  0.9468  0.0532  0.1241
Tm  0.9468  0.0532  0.3759
Bi  0.1407  0.8593  0.0725
Bi  0.1407  0.8593  0.4275
Bi  0.8593  0.1407  0.5725
Bi  0.8593  0.1407  0.9275
Os  0.1727  0.8273  0.7500
Os  0.8273  0.1727  0.2500

Calculated values
- Calculated total energy: -5.32 eV/atom
- Total magnetization: 0.0000 μB per atom
- Volume: 622.8 Å³ per cell
- DOS(E_F): 10.230 states/eV per cell
- Space-group type: Cmcm (63)
- Energy of formation: -0.1548 eV/atom

Entry 9:
Material: TlOs2Cl2
Method: DFT, GGA-PBE
State: relaxed

a b c (Å): 6.3009 6.3009 6.3009
angles (deg): 140.97 140.97 56.39
Atoms (fractional coordinates):
Tl  0.0000  0.0000  0.0000
Os  0.3976  0.3976  0.0000
Os  0.6024  0.6024  0.0000
Cl  0.2500  0.7500  0.5000
Cl  0.7500  0.2500  0.5000

Calculated values
- Raw formation energy: 959 meV/atom
- Calculated total energy: -4.75 eV/atom
- Total magnetization: 0.0002 μB per atom
- Volume: 98.4 Å³ per cell
- DOS(E_F): 5.612 states/eV per cell
- Space-group type: I4/mmm (139)

Entry 10:
Material: Rb6CdAg
Method: DFT, GGA-PBE
State: relaxed

a b c (Å): 4.9303 10.5415 10.5415
angles (deg): 84.86 90.00 90.00
Atoms (fractional coordinates):
Rb  0.0000  0.0000  0.0000
Rb  0.0000  0.5545  0.8635
Rb  0.0000  0.8635  0.5545
Rb  0.5000  0.2514  0.6782
Rb  0.5000  0.2716  0.2716
Rb  0.5000  0.6782  0.2514
Cd  0.0000  0.4936  0.4936
Ag  0.5000  0.5872  0.5872

Calculated values
- Calculated total energy: -1.18 eV/atom
- Total magnetization: 0.0000 μB per atom
- Volume: 545.7 Å³ per cell
- DOS(E_F): 5.712 states/eV per cell
- Space-group type: Amm2 (38)
- Energy of formation: 0.0119 eV/atom

Entry 11:
Material: Na5BeF8
Method: DFT, GGA-PBE
State: relaxed

a b c (Å): 6.3963 6.3963 6.3963
angles (deg): 115.91 115.91 97.25
Atoms (fractional coordinates):
Na  0.0000  0.0000  0.0000
Na  0.2899  0.6721  0.1795
Na  0.3279  0.5074  0.6178
Na  0.4926  0.1105  0.8205
Na  0.8895  0.7101  0.3822
Be  0.7500  0.2500  0.5000
F  0.0358  0.3989  0.1920
F  0.0471  0.3692  0.7082
F  0.1562  0.9642  0.3631
F  0.2069  0.8438  0.8080
F  0.6011  0.7931  0.6369
F  0.6308  0.3390  0.6779
F  0.6610  0.3389  0.2918
F  0.6611  0.9529  0.3221

Calculated values
- Raw formation energy: -2580 meV/atom
- Calculated total energy: -4.39 eV/atom
- Total magnetization: 0.0799 μB per atom
- Volume: 194.8 Å³ per cell
- DOS(E_F): 16.320 states/eV per cell
- Space-group type: I-4 (82)

Entry 12:
Material: TbPr2Sc
Method: DFT, GGA-PBE
State: relaxed

a b c (Å): 7.0665 7.0665 6.0780
angles (deg): 104.42 104.42 61.55
Atoms (fractional coordinates):
Tb  0.1261  0.1261  0.2548
Tb  0.8739  0.8739  0.7452
Pr  0.1285  0.6219  0.2501
Pr  0.3781  0.8715  0.7499
Pr  0.6219  0.1285  0.2501
Pr  0.8715  0.3781  0.7499
Sc  0.3764  0.3764  0.7548
Sc  0.6236  0.6236  0.2452

Calculated values
- Calculated total energy: -5.09 eV/atom
- Total magnetization: 0.0000 μB per atom
- Volume: 255.4 Å³ per cell
- DOS(E_F): 10.957 states/eV per cell
- Space-group type: C2/m (12)
- Energy of formation: 0.0437 eV/atom

Entry 13:
Material: LiCuPCl2
Method: DFT, GGA-PBE
State: relaxed

a b c (Å): 4.4685 4.4685 4.8436
angles (deg): 90.00 90.00 90.00
Atoms (fractional coordinates):
Li  0.0000  0.0000  0.0000
Cu  0.5000  0.5000  0.5000
P  0.0000  0.0000  0.5000
Cl  0.0000  0.5000  0.0000
Cl  0.5000  0.0000  0.0000

Calculated values
- Raw formation energy: 313 meV/atom
- Calculated total energy: -2.71 eV/atom
- Total magnetization: 0.0001 μB per atom
- Volume: 96.7 Å³ per cell
- DOS(E_F): 4.364 states/eV per cell
- Space-group type: P4/mmm (123)

Entry 14:
Material: Sc2BeBi
Method: DFT, GGA-PBE
State: relaxed

a b c (Å): 4.9230 4.9230 4.9230
angles (deg): 60.00 60.00 60.00
Atoms (fractional coordinates):
Sc  0.2500  0.2500  0.2500
Sc  0.7500  0.7500  0.7500
Be  0.0000  0.0000  0.0000
Bi  0.5000  0.5000  0.5000

Calculated values
- Calculated total energy: -5.10 eV/atom
- Total magnetization: 0.0000 μB per atom
- Volume: 84.4 Å³ per cell
- DOS(E_F): 4.662 states/eV per cell
- Space-group type: Fm-3m (225)
- Energy of formation: -0.0321 eV/atom

Entry 15:
Material: Ta4Pt
Method: DFT, GGA-PBE
State: relaxed

a b c (Å): 5.3565 5.3565 5.3565
angles (deg): 95.87 95.87 142.71
Atoms (fractional coordinates):
Ta  0.1016  0.6973  0.7989
Ta  0.3027  0.1016  0.4043
Ta  0.6973  0.8984  0.5957
Ta  0.8984  0.3027  0.2011
Pt  0.5000  0.5000  0.0000

Calculated values
- Calculated total energy: -10.97 eV/atom
- Total magnetization: 0.0000 μB per atom
- Volume: 88.2 Å³ per cell
- DOS(E_F): 4.100 states/eV per cell
- Space-group type: I4/m (87)
- Energy of formation: -0.2795 eV/atom

Entry 16:
Material: Ta2Ti5AlFe2
Method: DFT, GGA-PBE
State: relaxed

a b c (Å): 10.2712 10.2712 3.0424
angles (deg): 90.00 90.00 90.00
Atoms (fractional coordinates):
Ta  0.1753  0.3247  0.0000
Ta  0.3247  0.8247  0.0000
Ta  0.6753  0.1753  0.0000
Ta  0.8247  0.6753  0.0000
Ti  0.0000  0.5000  0.5000
Ti  0.0647  0.7897  0.5000
Ti  0.2103  0.0647  0.5000
Ti  0.2897  0.5647  0.5000
Ti  0.4353  0.2897  0.5000
Ti  0.5000  0.0000  0.5000
Ti  0.5647  0.7103  0.5000
Ti  0.7103  0.4353  0.5000
Ti  0.7897  0.9353  0.5000
Ti  0.9353  0.2103  0.5000
Al  0.0000  0.0000  0.0000
Al  0.5000  0.5000  0.0000
Fe  0.1286  0.6286  0.0000
Fe  0.3714  0.1286  0.0000
Fe  0.6286  0.8714  0.0000
Fe  0.8714  0.3714  0.0000

Calculated values
- Calculated total energy: -8.50 eV/atom
- Total magnetization: 0.0000 μB per atom
- Volume: 321.0 Å³ per cell
- DOS(E_F): 21.271 states/eV per cell
- Space-group type: P4/mbm (127)
- Energy of formation: -0.1180 eV/atom

Entry 17:
Material: KTePt2
Method: DFT, GGA-PBE
State: relaxed

a b c (Å): 6.0014 6.0014 2.9508
angles (deg): 103.66 103.66 117.94
Atoms (fractional coordinates):
K  0.0000  0.0000  0.0000
Te  0.5000  0.5000  0.0000
Pt  0.0000  0.5000  0.0000
Pt  0.5000  0.0000  0.0000

Calculated values
- Raw formation energy: 205 meV/atom
- Calculated total energy: -3.88 eV/atom
- Total magnetization: 0.0000 μB per atom
- Volume: 83.5 Å³ per cell
- DOS(E_F): 2.846 states/eV per cell
- Space-group type: C2/m (12)

Entry 18:
Material: InAg4Au5
Method: DFT, GGA-PBE
State: relaxed

a b c (Å): 6.6088 6.6088 6.6088
angles (deg): 100.61 100.61 129.19
Atoms (fractional coordinates):
In  0.0000  0.0000  0.0000
Ag  0.1712  0.9279  0.6089
Ag  0.3190  0.5623  0.3911
Ag  0.5623  0.1712  0.2433
Ag  0.9279  0.3190  0.7567
Au  0.0004  0.6351  0.1537
Au  0.4635  0.4635  0.0000
Au  0.4813  0.8466  0.8463
Au  0.6351  0.4813  0.6347
Au  0.8466  0.0004  0.3653

Calculated values
- Calculated total energy: -2.96 eV/atom
- Total magnetization: 0.0000 μB per atom
- Volume: 202.1 Å³ per cell
- DOS(E_F): 2.148 states/eV per cell
- Space-group type: I4 (79)
- Energy of formation: 0.0896 eV/atom

Entry 19:
Material: MgZrV2Cd
Method: DFT, GGA-PBE
State: relaxed

a b c (Å): 4.6975 4.6975 5.3949
angles (deg): 90.00 90.00 90.00
Atoms (fractional coordinates):
Mg  0.0000  0.0000  0.0000
Zr  0.0000  0.0000  0.5000
V  0.0000  0.5000  0.5000
V  0.5000  0.0000  0.5000
Cd  0.5000  0.5000  0.0000

Calculated values
- Calculated total energy: -4.53 eV/atom
- Total magnetization: 0.5070 μB per atom
- Volume: 119.0 Å³ per cell
- DOS(E_F): 6.149 states/eV per cell
- Space-group type: P4/mmm (123)
- Energy of formation: 1.3338 eV/atom

Entry 20:
Material: CdNi3N
Method: DFT, GGA-PBE
State: relaxed

a b c (Å): 2.8359 3.7098 5.6015
angles (deg): 90.00 90.00 90.00
Atoms (fractional coordinates):
Cd  0.0000  0.0000  0.0000
Ni  0.0000  0.0000  0.5000
Ni  0.5000  0.5000  0.2638
Ni  0.5000  0.5000  0.7362
N  0.0000  0.5000  0.5000

Calculated values
- Raw formation energy: 38 meV/atom
- Calculated total energy: -5.28 eV/atom
- Total magnetization: 0.0000 μB per atom
- Volume: 58.9 Å³ per cell
- DOS(E_F): 2.355 states/eV per cell
- Space-group type: Pmmm (47)